Arrangement a

Below is an optimized crystal structure of KAg2Au, with properties calculated at the PBE level.

## Properties
Symmetry: R3m
Density of states at the Fermi level: 3.67 states/eV per cell

```
4
Lattice="1.607 0.928 9.947 -1.607 0.928 9.947 0.000 -1.856 9.947" Properties=species:S:1:pos:R:3 pbc="T T T"
K 0.000 0.000 0.000
Ag 0.000 0.000 15.001
Ag 0.000 0.000 22.768
Au 0.000 0.000 7.250
```

***

Arrangement b

Below is an optimized crystal structure of KAg2Au, with properties calculated at the PBE level.

## Properties
Symmetry: Immm
Density of states at the Fermi level: 1.36 states/eV per cell

```
4
Lattice="-1.488 2.754 5.687 1.488 -2.754 5.687 1.488 2.754 -5.687" Properties=species:S:1:pos:R:3 pbc="T T T"
K 0.000 0.000 0.000
Ag 1.488 0.000 3.237
Ag 0.000 2.754 2.450
Au 0.000 0.000 5.687
```

***

Stability ranking, top entry: arrangement b; the second entry is 0.191 eV/atom less favorable.

***

Arrangement a

Below is an optimized crystal structure of KScIr2, with properties calculated at the PBE level.

## Properties
Symmetry: P4/mmm
Density of states at the Fermi level: 2.69 states/eV per cell

```
4
Lattice="4.704 0.000 0.000 0.000 4.704 0.000 0.000 0.000 3.423" Properties=species:S:1:pos:R:3 pbc="T T T"
K 0.000 0.000 0.000
Sc 2.352 2.352 0.000
Ir 0.000 2.352 1.712
Ir 2.352 0.000 1.712
```

***

Arrangement b

Below is an optimized crystal structure of KScIr2, with properties calculated at the PBE level.

## Properties
Symmetry: P4mm
Density of states at the Fermi level: 5.83 states/eV per cell

```
4
Lattice="3.449 0.000 0.000 0.000 3.449 0.000 0.000 0.000 8.709" Properties=species:S:1:pos:R:3 pbc="T T T"
K 0.000 0.000 0.000
Sc 1.724 1.724 3.672
Ir 0.000 0.000 5.183
Ir 1.724 1.724 6.112
```

***

Stability ranking, top entry: arrangement b; the second entry is 0.332 eV/atom less favorable.

***

Arrangement a

Below is an optimized crystal structure of SrAl3Tc, with properties calculated at the PBE level.

## Properties
Symmetry: C2/m
Density of states at the Fermi level: 6.43 states/eV per cell

```
10
Lattice="6.035 -2.069 0.000 6.035 2.069 0.000 -3.128 0.000 8.680" Properties=species:S:1:pos:R:3 pbc="T T T"
Sr 0.377 0.000 1.667
Sr 8.566 0.000 7.012
Al 0.118 0.000 6.158
Al 3.772 0.000 0.405
Al 4.418 0.000 3.058
Al 4.525 0.000 5.622
Al 5.171 0.000 8.274
Al 8.825 0.000 2.522
Tc 2.131 0.000 4.369
Tc 6.812 0.000 4.310
```

***

Arrangement b

Below is an optimized crystal structure of SrAl3Tc, with properties calculated at the PBE level.

## Properties
Symmetry: Pm-3m
Density of states at the Fermi level: 1.25 states/eV per cell

```
5
Lattice="4.843 0.000 0.000 0.000 4.843 0.000 0.000 0.000 4.843" Properties=species:S:1:pos:R:3 pbc="T T T"
Sr 0.000 0.000 0.000
Al 0.000 2.421 2.421
Al 2.421 0.000 2.421
Al 2.421 2.421 0.000
Tc 2.421 2.421 2.421
```

***

Stability ranking, top entry: arrangement b; the second entry is 0.236 eV/atom less favorable.